1.
The following is a PBE calculation of crystalline Sr2TaVZn at its relaxed geometry, from the Alexandria database.

```
5
Lattice="-1.4423 -5.8212 -0.8193 4.4371 -1.0776 -0.1541 0.0031 -0.8444 5.9937" Properties=species:S:1:pos:R:3 pbc="T T T"
Zn 1.4989 -3.8716 2.5102
Ta 2.2185 -0.5388 -0.0771
Sr -0.7211 -2.9106 -0.4097
V 0.0000 0.0000 0.0000
Sr 0.0016 -0.4222 2.9969
```

M_tot (μB per cell): 1.749
E_form (eV/atom): 1.020
Crystal system: tetragonal

=====

2.
The following is a PBE calculation of crystalline SrSiPt2 at its relaxed geometry, from the Alexandria database.

```
4
Lattice="3.7283 0.0000 0.0000 0.0000 3.0476 0.0016 0.0000 1.6361 6.9936" Properties=species:S:1:pos:R:3 pbc="T T T"
Sr 1.8642 3.5128 5.2464
Pt 0.0000 1.9780 3.0266
Si 1.8642 1.1709 1.7488
Pt 0.0000 0.3639 0.4710
```

Formation energy from raw total energies (eV per atom): -0.511
M_tot (μB per cell): 0.000
Crystal system: monoclinic

=====

3.
The following is a PBE calculation of crystalline Ba4Sr5Ca at its relaxed geometry, from the Alexandria database.

```
10
Lattice="-1.8889 3.6380 -2.6438 -1.9346 -3.2459 -3.0844 -19.7930 -0.7110 13.1627" Properties=species:S:1:pos:R:3 pbc="T T T"
Sr -19.9613 -0.4524 9.1392
Sr -7.7164 -0.0125 0.9961
Sr -11.8082 -0.1595 3.7173
Ba -16.0287 -0.5758 10.6593
Ba -11.9452 -0.4291 7.9438
Ba -3.7643 -0.1352 2.5033
Ba -7.8478 -0.2819 5.2189
Sr -15.9000 -0.3065 6.4384
Ca 0.0000 0.0000 0.0000
Sr -3.6552 0.1334 -1.7047
```

M_tot (μB per cell): 0.000
E_form (eV/atom): 0.009
Crystal system: tetragonal

=====

4.
The following is a PBE calculation of crystalline SbHRh2I at its relaxed geometry, from the Alexandria database.

```
5
Lattice="-1.3440 0.9559 -4.0613 -3.4123 -2.4318 0.5568 -2.2105 3.4555 1.5449" Properties=species:S:1:pos:R:3 pbc="T T T"
Rh -0.6720 0.4780 -2.0306
Rh -1.1053 1.7278 0.7724
I -1.7062 -1.2159 0.2784
H 0.0000 0.0000 0.0000
Sb -3.4834 0.9898 -0.9798
```

Raw total energy (eV/cell): -20.75
M_tot (μB per cell): 0.000
Crystal system: tetragonal

=====

5.
The following is a PBE calculation of crystalline Tb2CeRu3 at its relaxed geometry, from the Alexandria database.

```
12
Lattice="-1.7926 4.8957 2.2405 -6.3798 -2.5240 0.4107 3.7872 -4.0209 4.6300" Properties=species:S:1:pos:R:3 pbc="T T T"
Ru 0.3218 -0.5190 1.3371
Tb -0.3562 1.5363 3.5447
Tb -3.5460 0.2739 3.7499
Ce -2.1207 0.8048 0.7598
Ce -6.0517 1.5669 1.8914
Tb -4.0290 -3.1855 3.7364
Ru -5.3293 -0.4060 0.9885
Ru -4.7070 -1.1302 5.9441
Ru -2.8431 2.7777 1.6626
Ru -2.8817 -1.7439 1.5594
Tb -0.8392 -1.9231 3.5313
Ru -1.5035 0.0947 5.7218
```

Offset from the most stable computed form (meV/atom): 127.8
M_tot (μB per cell): 0.000
E_form (eV/atom): -0.232
Crystal system: monoclinic

=====

6.
The following is a PBE calculation of crystalline SnMo12PbS16 at its relaxed geometry, from the Alexandria database.

```
30
Lattice="-1.3938 -5.8407 -2.7102 0.0281 -2.8390 5.9449 -12.9115 2.3255 1.3038" Properties=species:S:1:pos:R:3 pbc="T T T"
Mo -10.3355 -4.4925 2.2916
Sn -6.4557 1.1627 0.6519
Mo -3.9045 -5.6733 1.6779
Mo -10.3727 -0.6810 2.8606
S -11.7515 -0.5634 0.8324
S -12.4331 -1.0881 4.1721
Mo -2.0373 -3.7693 2.3722
S -2.6343 -2.4033 4.3206
S -5.2208 -5.1259 -0.4041
Pb 0.0000 0.0000 0.0000
S -5.9406 -5.7004 2.9587
S -5.3166 -1.7266 0.2232
S -12.3596 -4.5194 3.5775
S -8.3365 -0.6538 1.5798
Mo -3.9416 -1.8618 2.2469
S -2.5256 -5.7908 3.7060
Mo -5.8064 -3.7606 1.5440
Mo -12.2398 -2.5849 2.1663
Mo -4.3694 -4.0897 3.8075
Mo -8.4708 -2.5937 2.9945
S -8.9605 -4.6276 4.3152
S -9.0564 -1.2283 4.9426
Mo -10.7997 -2.9039 4.4236
S -1.8440 -5.2661 0.3663
Mo -3.4774 -3.4503 0.1148
S -11.6428 -3.9510 0.2179
Mo -9.9078 -2.2645 0.7309
S -8.2868 -4.0871 0.9712
S -1.9176 -1.8348 0.9610
S -5.9903 -2.2671 3.5672
```

Formation energy from raw total energies (eV per atom): -0.660
M_tot (μB per cell): 0.000
Crystal system: triclinic

=====

7.
The following is a PBE calculation of crystalline Ca2Ac8Dy at its relaxed geometry, from the Alexandria database.

```
11
Lattice="-0.7348 -3.7629 -4.5587 6.0916 -5.7888 3.7997 -8.1822 -2.5368 3.4162" Properties=species:S:1:pos:R:3 pbc="T T T"
Ac -2.2345 -0.9575 1.1493
Ac -1.0464 -4.5856 0.0618
Ac -1.7791 -7.5031 2.5955
Ac 2.1802 -6.8629 1.4251
Ac 1.5379 -1.8169 1.2506
Ac -4.3635 -10.2717 1.4066
Ca 0.6362 -4.5460 3.6531
Ca -2.7269 -3.7797 3.5628
Ac -5.0058 -5.2257 1.2321
Ac -0.5910 -11.1312 1.5080
Dy -0.3674 -1.8815 -2.2794
```

M_tot (μB per cell): 0.000
E_form (eV/atom): 0.165
Crystal system: orthorhombic

=====

8.
The following is a PBE calculation of crystalline Na2VSbPd at its relaxed geometry, from the Alexandria database.

```
5
Lattice="-2.3162 0.9128 5.0460 1.8669 -4.4810 1.6675 4.7018 2.5878 1.6901" Properties=species:S:1:pos:R:3 pbc="T T T"
V 0.9334 -2.2405 0.8338
Sb 0.0000 0.0000 0.0000
Na -1.1581 0.4564 2.5230
Pd 2.1263 -0.4902 4.2018
Na 2.3509 1.2939 0.8450
```

Formation energy from raw total energies (eV per atom): 0.698
M_tot (μB per cell): 2.773
Crystal system: tetragonal

=====

9.
The following is a PBE calculation of crystalline LaNd2Hg4 at its relaxed geometry, from the Alexandria database.

```
7
Lattice="-0.1107 4.7575 -4.5522 5.5850 -3.4386 -0.5943 -5.1870 -3.9613 -0.8788" Properties=species:S:1:pos:R:3 pbc="T T T"
Hg -2.5935 -1.9807 -0.4394
Hg -0.0553 2.3788 -2.2761
La 0.0000 0.0000 0.0000
Nd 2.7372 0.6595 -2.5733
Hg 0.1437 -1.3212 -3.0126
Hg 2.7925 -1.7193 -0.2972
Nd -2.6488 0.3981 -2.7155
```

M_tot (μB per cell): 0.000
E_form (eV/atom): -0.386
Crystal system: tetragonal

=====

10.
The following is a PBE calculation of crystalline Pm12C5O3 at its relaxed geometry, from the Alexandria database.

```
80
Lattice="-4.4438 0.5229 -12.3751 -4.7452 -10.7552 5.9138 -3.9612 10.7102 6.5393" Properties=species:S:1:pos:R:3 pbc="T T T"
C 0.0000 0.0000 0.0000
Pm -10.0663 -2.6303 -2.8701
Pm -6.4983 4.5068 4.2852
Pm -5.9020 2.4836 0.9758
Pm -3.8078 2.2243 -6.1578
O -9.9607 -2.3247 -0.0196
O -7.5278 4.3263 -0.6122
Pm -4.4792 0.5928 -1.3214
Pm -3.9209 -0.6121 -7.8365
C -7.5504 4.4626 -5.2627
O -7.6784 -1.3127 8.5322
Pm -5.9805 1.0670 4.6348
Pm -8.6711 -0.1148 1.3994
O -5.4718 1.7907 -8.4541
Pm -9.8836 -2.8024 2.8081
C -9.8024 1.6319 2.4229
C -2.2219 0.2614 -6.1875
Pm -4.0206 6.8124 2.9802
O -5.6075 -2.3022 -6.2462
Pm -7.8993 8.8947 -5.0326
Pm -3.0839 3.1083 2.9482
Pm -7.5524 1.7018 -1.7704
C -4.3532 -0.0225 6.2266
Pm -4.7902 5.1770 -0.5033
Pm -9.3424 -1.7463 6.2359
O -5.6225 -3.8483 0.6903
C -3.3252 -1.2903 2.3056
Pm -4.5017 -6.2534 1.9232
Pm -9.2293 1.0901 7.9146
O -3.1896 2.8027 0.0977
Pm -8.1115 -8.9523 -4.5719
Pm -5.0387 9.4303 4.6500
Pm -7.5141 6.5392 1.2133
C -3.3479 -1.1539 -2.3448
Pm -9.2476 1.1253 4.6169
Pm -6.0780 -1.8629 6.1455
Pm -5.3594 4.4376 7.3472
Pm -6.8076 -3.8531 3.3654
C -4.2025 5.6166 -2.9179
Pm -8.3601 -4.6990 0.5813
Pm -3.2666 3.2804 -2.7300
Pm -2.8959 -3.4092 1.4667
C -5.5998 -3.9847 5.3407
Pm -6.9836 6.2181 -6.6681
Pm -3.9323 -3.2812 -1.6296
Pm -9.2179 3.7591 1.7077
C -7.9197 -6.4064 -0.9250
C -5.2305 6.8844 1.0031
Pm -10.2544 3.8872 -1.3886
Pm -5.6361 -6.0613 -1.1352
Pm -8.6485 6.7314 -1.8451
Pm -11.0827 0.0521 -1.3050
Pm -7.2483 -2.0056 -0.8977
Pm -6.3426 4.3311 -3.2873
O -7.9424 -6.2701 -5.5754
Pm -5.9667 0.9090 7.9289
Pm -2.0675 0.4259 1.3831
Pm -7.7908 -3.9596 -7.2691
Pm -7.0722 2.3409 -6.0674
C -9.8250 1.7682 -2.2276
Pm -5.2509 -8.4168 5.1107
C -5.3662 2.7914 3.2110
C -1.9806 5.3551 3.2697
Pm -6.1666 -5.7401 6.7462
Pm -9.1297 -6.3345 -2.9021
Pm -7.1835 -0.4310 -7.8508
C -2.3726 -5.3776 2.9569
C -7.7841 -2.3135 -3.1329
C -5.7581 -7.9413 2.8982
C -4.5945 -5.1161 -3.2306
O -5.2079 6.7480 5.6535
Pm -6.6520 -4.0288 -4.2071
C -7.3921 8.4192 -2.8202
Pm -3.9026 -0.6473 -4.5388
Pm -7.1697 -0.5891 -4.5567
Pm -5.5978 -1.2238 1.8485
C -6.5751 0.2390 0.0390
O -5.4492 1.6544 -3.8037
O -7.7011 -1.1764 3.8818
O -7.5428 2.7802 6.3243
```

Formation energy from raw total energies (eV per atom): -0.421
M_tot (μB per cell): 0.000
Crystal system: cubic

=====

11.
The following is a PBE calculation of crystalline BeRh3 at its relaxed geometry, from the Alexandria database.

```
4
Lattice="-0.5632 -2.5559 0.8379 2.2465 -0.9178 -1.2895 3.5638 1.0135 5.4872" Properties=species:S:1:pos:R:3 pbc="T T T"
Be 0.0000 0.0000 0.0000
Rh 1.7819 0.5067 2.7436
Rh 3.6563 -0.9364 4.1080
Rh 1.5907 -1.5238 0.9276
```

M_tot (μB per cell): 0.000
E_form (eV/atom): -0.271
Crystal system: tetragonal

=====

12.
The following is a PBE calculation of crystalline Tm2Sc3Pd4 at its relaxed geometry, from the Alexandria database.

```
18
Lattice="-1.6475 5.7325 1.6112 -0.3372 -2.0400 6.9133 8.9144 -0.8215 0.1925" Properties=species:S:1:pos:R:3 pbc="T T T"
Pd 6.3173 1.6677 6.4491
Tm 6.4968 1.4679 1.4206
Pd 5.2337 0.4146 3.8766
Pd 0.6123 1.2033 2.2679
Pd 7.1411 -1.1985 5.6435
Sc 0.0000 0.0000 0.0000
Sc 4.4799 -1.8711 5.3152
Tm 1.3651 -0.8064 4.2650
Pd 1.6959 2.4564 4.8404
Pd 4.5547 4.1563 1.7156
Pd -0.2115 4.0695 3.0734
Tm 5.5645 3.6774 4.4519
Sc 2.4497 4.7421 3.4017
Sc 3.6562 0.9952 6.1208
Tm 0.4328 1.4031 7.2963
Sc 3.2735 1.8758 2.5961
Sc -0.9924 1.8463 4.2622
Pd 2.3749 -1.2852 7.0014
```

Offset from the most stable computed form (meV/atom): 75.3
M_tot (μB per cell): 0.000
E_form (eV/atom): -0.752
Crystal system: orthorhombic